Entry 1:
Computed, not measured: a relaxed structure of YSc2Cd at the GGA-PBEsol level of DFT.

a b c (Å): 3.3479 3.3479 8.5915
angles (deg): 90.00 90.00 90.00
Space group P4/mmm (No. 123)
One atom of each set of equivalent atoms:
Y  0.0000  0.0000  0.0000 [1 per cell]
Sc  0.5000  0.5000  0.2774 [2 per cell]
Cd  0.0000  0.0000  0.5000 [1 per cell]


Entry 2:
Computed, not measured: a relaxed structure of YSc2Cd at the GGA-PBEsol level of DFT.

a b c (Å): 3.3583 3.3583 8.5854
angles (deg): 90.00 90.00 90.00
Space group P4mm (No. 99)
One atom of each set of equivalent atoms:
Y  0.0000  0.0000  0.0000 [1 per cell]
Sc  0.0000  0.0000  0.4764 [1 per cell]
Sc  0.5000  0.5000  0.7241 [1 per cell]
Cd  0.5000  0.5000  0.2558 [1 per cell]


Entry 3:
Computed, not measured: a relaxed structure of Y2ScCd at the GGA-PBEsol level of DFT.

a b c (Å): 3.4470 3.4470 31.2337
angles (deg): 90.00 90.00 120.00
Space group R-3m (No. 166, hexagonal axes)
One atom of each set of equivalent atoms:
Y  0.0000  0.0000  0.2473 [6 per cell]
Sc  0.0000  0.0000  0.0000 [3 per cell]
Cd  0.0000  0.0000  0.5000 [3 per cell]


Entry 4:
Computed, not measured: a relaxed structure of YSc2Cd at the GGA-PBEsol level of DFT.

a b c (Å): 4.5457 4.5457 9.1512
angles (deg): 90.00 90.00 90.00
Space group I-4m2 (No. 119)
One atom of each set of equivalent atoms:
Y  0.0000  0.0000  0.0000 [2 per cell]
Sc  0.0000  0.0000  0.5000 [2 per cell]
Sc  0.0000  0.5000  0.7500 [2 per cell]
Cd  0.0000  0.5000  0.2500 [2 per cell]


Number 1: formation enthalpy at 0 K -0.133 eV/atom, spin magnetization 0.00 μB per atom. Number 2: formation enthalpy at 0 K -0.138 eV/atom, spin magnetization 0.00 μB per atom. Number 3: formation enthalpy at 0 K -0.039 eV/atom, spin magnetization 0.00 μB per atom. Number 4: formation enthalpy at 0 K -0.090 eV/atom, spin magnetization 0.15 μB per atom.